Entry 1:
Crystalline TmTc2W at its relaxed geometry. Source: Alexandria via LeMat-Bulk, functional PBE-GGA.

Its crystal system is cubic. The value obtained for the calculated formation energy is -40 meV/atom. The calculation puts the total magnetization at 0.0 μB/f.u. The energy relative to the lowest polymorph listed for this composition is 33.0 meV per atom.

Structure (POSCAR):
```
TmTc2W
1.0
0.000 3.228 3.228
3.228 0.000 3.228
3.228 3.228 0.000
Tm Tc W
1 2 1
direct
0.000 0.000 0.000
0.250 0.250 0.250
0.750 0.750 0.750
0.500 0.500 0.500
```

Entry 2:
Crystalline TmTc2W at its relaxed geometry. Source: Alexandria via LeMat-Bulk, functional PBE-GGA.

Its crystal system is tetragonal. The value obtained for the calculated formation energy is 32 meV/atom. The calculation puts the total magnetization at 0.0 μB/f.u. The energy relative to the lowest polymorph listed for this composition is 104.5 meV per atom.

Structure (POSCAR):
```
TmTc2W
1.0
4.586 0.000 0.000
0.000 4.586 0.000
0.000 0.000 3.213
Tm Tc W
1 2 1
direct
0.000 0.000 0.000
0.000 0.500 0.500
0.500 0.000 0.500
0.500 0.500 0.000
```

Entry 3:
Crystalline YTm2Tc at its relaxed geometry. Source: Alexandria via LeMat-Bulk, functional PBE-GGA.

Its crystal system is tetragonal. The value obtained for the calculated formation energy is -23 meV/atom. The calculation puts the total magnetization at 0.0 μB/f.u. The energy relative to the lowest polymorph listed for this composition is 111.2 meV per atom.

Structure (POSCAR):
```
YTm2Tc
1.0
3.429 0.000 0.000
0.000 3.429 0.000
0.000 0.000 8.785
Y Tm Tc
1 2 1
direct
0.000 0.000 0.000
0.500 0.500 0.316
0.500 0.500 0.684
0.000 0.000 0.500
```

Entry 4:
Crystalline Y3Tm2Tc2 at its relaxed geometry. Source: Alexandria via LeMat-Bulk, functional PBE-GGA.

Its crystal system is monoclinic. The value obtained for the calculated formation energy is -63 meV/atom. The calculation puts the total magnetization at 0.0 μB/f.u.

Structure (POSCAR):
```
Y3Tm2Tc2
1.0
6.212 -1.879 0.000
6.212 1.879 0.000
-3.304 0.000 7.691
Y Tm Tc
3 2 2
direct
0.000 0.000 0.000
0.125 0.125 0.437
0.875 0.875 0.563
0.337 0.337 0.176
0.663 0.663 0.824
0.317 0.317 0.788
0.683 0.683 0.212
```